1.
Computed, not measured: an optimized crystal structure of Nd6Cd2Rh at the PBE level of DFT.

```
data_Nd6Cd2Rh
_chemical_formula_sum 'Nd12 Cd4 Rh2'
_cell_length_a 7.172
_cell_length_b 7.407
_cell_length_c 12.995
_cell_angle_alpha 90.00
_cell_angle_beta 123.47
_cell_angle_gamma 90.00
_symmetry_space_group_name_H-M 'P 1 21/c 1'
_symmetry_Int_Tables_number 14
loop_
_symmetry_equiv_pos_as_xyz
'x,y,z'
'-x,-y,-z'
'-x,y+1/2,-z+1/2'
'x,-y+1/2,z+1/2'
loop_
_atom_site_label
_atom_site_type_symbol
_atom_site_fract_x
_atom_site_fract_y
_atom_site_fract_z
Nd1 Nd 0.141 0.199 0.462
Nd2 Nd 0.262 0.683 0.459
Nd3 Nd 0.348 0.510 0.749
Cd1 Cd 0.205 0.086 0.748
Rh1 Rh 0.500 0.000 0.500
```

Properties
Density of states at the Fermi level = 19.324 states/eV per cell
ΔH_f (0 K) = -0.218 eV per atom


2.
Computed, not measured: an optimized crystal structure of TcSnP at the PBE level of DFT.

```
data_TcSnP
_chemical_formula_sum 'Tc2 Sn2 P2'
_cell_length_a 3.158
_cell_length_b 4.575
_cell_length_c 7.735
_cell_angle_alpha 90.00
_cell_angle_beta 90.00
_cell_angle_gamma 90.00
_symmetry_space_group_name_H-M 'P m m n'
_symmetry_Int_Tables_number 59
loop_
_symmetry_equiv_pos_as_xyz
'x,y,z'
'-x,-y,-z'
'-x+1/2,-y+1/2,z'
'x+1/2,y+1/2,-z'
'x+1/2,-y,-z'
'-x+1/2,y,z'
'-x,y+1/2,-z'
'x,-y+1/2,z'
loop_
_atom_site_label
_atom_site_type_symbol
_atom_site_fract_x
_atom_site_fract_y
_atom_site_fract_z
Tc1 Tc 0.250 0.250 0.063
Sn1 Sn 0.250 0.750 0.604
P1 P 0.250 0.750 0.165
```

Properties
Density of states at the Fermi level = 4.746 states/eV per cell
ΔH_f (0 K) = -0.185 eV per atom


3.
Computed, not measured: an optimized crystal structure of MnSi2N at the PBE level of DFT.

```
data_MnSi2N
_chemical_formula_sum 'Mn3 Si6 N3'
_cell_length_a 2.7840
_cell_length_b 2.7840
_cell_length_c 18.9767
_cell_angle_alpha 90.00
_cell_angle_beta 90.00
_cell_angle_gamma 120.00
_symmetry_space_group_name_H-M 'R 3 m'
_symmetry_Int_Tables_number 160
_symmetry_space_group_name_Hall 'R 3 -2"'
loop_
_atom_site_label
_atom_site_type_symbol
_atom_site_fract_x
_atom_site_fract_y
_atom_site_fract_z
Mn1 Mn 0.0000 0.0000 0.0000
Si1 Si 0.0000 0.0000 0.5798
Si2 Si 0.0000 0.0000 0.7674
N1 N 0.0000 0.0000 0.4864
```

Properties
Raw formation energy = -1.5 eV per formula unit
Density of states at the Fermi level = 7.413 states/eV per cell


4.
Computed, not measured: an optimized crystal structure of CrAsRu at the PBE level of DFT.

```
data_CrAsRu
_chemical_formula_sum 'Cr4 As4 Ru4'
_cell_length_a 12.059
_cell_length_b 2.792
_cell_length_c 4.985
_cell_angle_alpha 90.00
_cell_angle_beta 90.00
_cell_angle_gamma 90.00
_symmetry_space_group_name_H-M 'A m m 2'
_symmetry_Int_Tables_number 38
loop_
_symmetry_equiv_pos_as_xyz
'x,y,z'
'-x,-y,z'
'-x,y,z'
'x,-y,z'
'x,y+1/2,z+1/2'
'-x,-y+1/2,z+1/2'
'-x,y+1/2,z+1/2'
'x,-y+1/2,z+1/2'
loop_
_atom_site_label
_atom_site_type_symbol
_atom_site_fract_x
_atom_site_fract_y
_atom_site_fract_z
Cr1 Cr 0.000 0.000 0.000
Cr2 Cr 0.500 0.000 0.070
As1 As 0.346 0.000 0.758
Ru1 Ru 0.162 0.000 0.313
```

Properties
Density of states at the Fermi level = 13.296 states/eV per cell
ΔH_f (0 K) = 0.175 eV per atom


5.
Computed, not measured: an optimized crystal structure of FeNi8Pd2 at the PBE level of DFT.

```
data_FeNi8Pd2
_chemical_formula_sum 'Fe2 Ni16 Pd4'
_cell_length_a 6.498
_cell_length_b 12.407
_cell_length_c 4.332
_cell_angle_alpha 90.00
_cell_angle_beta 129.06
_cell_angle_gamma 90.00
_symmetry_space_group_name_H-M 'C 1 2/m 1'
_symmetry_Int_Tables_number 12
loop_
_symmetry_equiv_pos_as_xyz
'x,y,z'
'-x,-y,-z'
'-x,y,-z'
'x,-y,z'
'x+1/2,y+1/2,z'
'-x+1/2,-y+1/2,-z'
'-x+1/2,y+1/2,-z'
'x+1/2,-y+1/2,z'
loop_
_atom_site_label
_atom_site_type_symbol
_atom_site_fract_x
_atom_site_fract_y
_atom_site_fract_z
Fe1 Fe 0.000 0.000 0.000
Ni1 Ni 0.000 0.191 0.000
Ni2 Ni 0.049 0.500 0.789
Ni3 Ni 0.230 0.126 0.714
Pd1 Pd 0.000 0.312 0.500
```

Properties
Density of states at the Fermi level = 64.625 states/eV per cell
ΔH_f (0 K) = 0.354 eV per atom


6.
Computed, not measured: an optimized crystal structure of ZrCo2Rh at the PBE level of DFT.

```
data_ZrCo2Rh
_chemical_formula_sum 'Zr3 Co6 Rh3'
_cell_length_a 2.8127
_cell_length_b 2.8127
_cell_length_c 25.8616
_cell_angle_alpha 90.00
_cell_angle_beta 90.00
_cell_angle_gamma 120.00
_symmetry_space_group_name_H-M 'R 3 m'
_symmetry_Int_Tables_number 160
_symmetry_space_group_name_Hall 'R 3 -2"'
loop_
_atom_site_label
_atom_site_type_symbol
_atom_site_fract_x
_atom_site_fract_y
_atom_site_fract_z
Zr1 Zr 0.0000 0.0000 0.0000
Co1 Co 0.0000 0.0000 0.2418
Co2 Co 0.0000 0.0000 0.5055
Rh1 Rh 0.0000 0.0000 0.7591
```

Properties
Density of states at the Fermi level = 21.466 states/eV per cell
ΔH_f (0 K) = 0.183 eV per atom


7.
Computed, not measured: an optimized crystal structure of PmLuSiNi at the PBE level of DFT.

```
data_PmLuSiNi
_chemical_formula_sum 'Pm4 Lu4 Si4 Ni4'
_cell_length_a 6.939
_cell_length_b 6.939
_cell_length_c 6.939
_cell_angle_alpha 90.00
_cell_angle_beta 90.00
_cell_angle_gamma 90.00
_symmetry_space_group_name_H-M 'F -4 3 m'
_symmetry_Int_Tables_number 216
_symmetry_space_group_name_Hall 'F -4 2 3'
loop_
_atom_site_label
_atom_site_type_symbol
_atom_site_fract_x
_atom_site_fract_y
_atom_site_fract_z
Pm1 Pm 0.000 0.000 0.000
Lu1 Lu 0.000 0.000 0.500
Si1 Si 0.250 0.250 0.250
Ni1 Ni 0.250 0.250 0.750
```

Properties
Raw formation energy = -1.7 eV per formula unit
Density of states at the Fermi level = 6.331 states/eV per cell


8.
Computed, not measured: an optimized crystal structure of InGa2Bi at the PBE level of DFT.

```
data_InGa2Bi
_chemical_formula_sum 'In3 Ga6 Bi3'
_cell_length_a 4.4441
_cell_length_b 4.4441
_cell_length_c 18.8063
_cell_angle_alpha 90.00
_cell_angle_beta 90.00
_cell_angle_gamma 120.00
_symmetry_space_group_name_H-M 'R 3 m'
_symmetry_Int_Tables_number 160
_symmetry_space_group_name_Hall 'R 3 -2"'
loop_
_atom_site_label
_atom_site_type_symbol
_atom_site_fract_x
_atom_site_fract_y
_atom_site_fract_z
In1 In 0.0000 0.0000 0.0000
Ga1 Ga 0.0000 0.0000 0.5927
Ga2 Ga 0.0000 0.0000 0.7515
Bi1 Bi 0.0000 0.0000 0.1748
```

Properties
Density of states at the Fermi level = 4.790 states/eV per cell
ΔH_f (0 K) = 0.083 eV per atom


Among the records above, which one has the lowest density of states at the Fermi level? TcSnP


Please write out number 4 again, unchanged.
Computed, not measured: an optimized crystal structure of CrAsRu at the PBE level of DFT.

```
data_CrAsRu
_chemical_formula_sum 'Cr4 As4 Ru4'
_cell_length_a 12.059
_cell_length_b 2.792
_cell_length_c 4.985
_cell_angle_alpha 90.00
_cell_angle_beta 90.00
_cell_angle_gamma 90.00
_symmetry_space_group_name_H-M 'A m m 2'
_symmetry_Int_Tables_number 38
loop_
_symmetry_equiv_pos_as_xyz
'x,y,z'
'-x,-y,z'
'-x,y,z'
'x,-y,z'
'x,y+1/2,z+1/2'
'-x,-y+1/2,z+1/2'
'-x,y+1/2,z+1/2'
'x,-y+1/2,z+1/2'
loop_
_atom_site_label
_atom_site_type_symbol
_atom_site_fract_x
_atom_site_fract_y
_atom_site_fract_z
Cr1 Cr 0.000 0.000 0.000
Cr2 Cr 0.500 0.000 0.070
As1 As 0.346 0.000 0.758
Ru1 Ru 0.162 0.000 0.313
```

Properties
Density of states at the Fermi level = 13.296 states/eV per cell
ΔH_f (0 K) = 0.175 eV per atom


Which formula does entry 1 have? Nd6Cd2Rh